(1)
This record from Alexandria via LeMat-Bulk describes an optimized crystal structure of Er3Tl2Ag. The functional is PBE.

Computed properties:
* relative energy among the computed polymorphs: 0 meV/atom

a b c (Å): 3.5843 3.5843 11.9695
angles (deg): 90.00 90.00 90.00
Closest atoms and distances in Å follow each position.
Sites, in units of the cell vectors:
Tl: 0.5000 0.5000 0.8247  8 Er 3.28-3.29, 4 Tl 3.58
Tl: 0.5000 0.5000 0.1753  8 Er 3.28-3.29, 4 Tl 3.58
Er: 0.0000 0.0000 0.0000  8 Tl 3.29, 4 Er 3.58
Er: 0.0000 0.0000 0.3493  4 Ag 3.11, 4 Tl 3.28
Er: 0.0000 0.0000 0.6507  4 Ag 3.11, 4 Tl 3.28
Ag: 0.5000 0.5000 0.5000  8 Er 3.11

=====

(2)
This record from Alexandria via LeMat-Bulk describes an optimized crystal structure of HOsIO. The functional is PBE.

Computed properties:
* relative energy among the computed polymorphs: 231 meV/atom

a b c (Å): 5.6033 3.3932 8.5184
angles (deg): 90.00 101.03 90.00
Closest atoms and distances in Å follow each position.
Sites, in units of the cell vectors:
H: 0.6519 0.0000 0.5817  1 Os 1.59
H: 0.6519 0.5000 0.0817  1 Os 1.59
O: 0.7238 0.0000 0.8640  2 Os 1.90
O: 0.7238 0.5000 0.3640  2 Os 1.90
Os: 0.8232 0.5000 0.9530  1 H 1.59
Os: 0.8232 0.0000 0.4530  1 H 1.59
I: 0.1163 0.0000 0.1651  2 Os 2.78, 1 O 3.04, 2 H 3.07
I: 0.1163 0.5000 0.6651  2 Os 2.78, 1 O 3.04, 2 H 3.07

=====

(3)
This record from Alexandria via LeMat-Bulk describes an optimized crystal structure of CeVRe. The functional is PBE.

Computed properties:
* relative energy among the computed polymorphs: 246 meV/atom

a b c (Å): 2.9760 2.9760 7.1165
angles (deg): 90.00 90.00 120.00
Closest atoms and distances in Å follow each position.
Sites, in units of the cell vectors:
V: 0.6667 0.3333 0.0426  3 Re 2.47
Re: 0.0000 0.0000 0.2920  3 V 2.47
Ce: 0.3333 0.6667 0.6654  6 Ce 2.98, 3 Re 3.16, 3 V 3.19

=====

(4)
This record from Alexandria via LeMat-Bulk describes an optimized crystal structure of Sr2TeHRh. The functional is PBE.

Computed properties:
* relative energy among the computed polymorphs: 0 meV/atom

a b c (Å): 5.5361 5.5361 3.7830
angles (deg): 90.00 90.00 90.00
Closest atoms and distances in Å follow each position.
Sites, in units of the cell vectors:
Rh: 0.0000 0.0000 0.5000  2 H 1.89
Te: 0.5000 0.5000 0.5000  8 Sr 3.35
H: 0.0000 0.0000 0.0000  2 Rh 1.89
Sr: 0.0000 0.5000 0.0000  2 H 2.77
Sr: 0.5000 0.0000 0.0000  2 H 2.77

=====

(5)
This record from Alexandria via LeMat-Bulk describes an optimized crystal structure of KCa2TiAg. The functional is PBE.

Computed properties:
* raw total energy: -2.23 eV/atom

a b c (Å): 5.9192 6.1370 5.9192
angles (deg): 90.00 90.00 90.00
Closest atoms and distances in Å follow each position.
Sites, in units of the cell vectors:
Ca: 0.0000 0.0000 0.5000  2 Ti 2.96
Ca: 0.5000 0.0000 0.0000  2 Ti 2.96
Ag: 0.5000 0.5000 0.5000  4 K 4.19, 8 Ca 4.26
Ti: 0.0000 0.0000 0.0000  4 Ca 2.96, 2 K 3.07
K: 0.0000 0.5000 0.0000  2 Ti 3.07

=====

(6)
This record from Alexandria via LeMat-Bulk describes an optimized crystal structure of Ce3GeRu3. The functional is PBE.

Computed properties:
* raw total energy: -7.39 eV/atom

a b c (Å): 5.6621 8.1242 8.1242
angles (deg): 120.00 90.00 90.00
Closest atoms and distances in Å follow each position.
Sites, in units of the cell vectors:
Ru: 0.7500 0.3314 0.3600  1 Ce 2.35, 1 Ge 2.48
Ru: 0.2500 0.3600 0.0286  1 Ce 2.35, 1 Ge 2.48
Ru: 0.7500 0.6400 0.9714  1 Ce 2.35, 1 Ge 2.48
Ru: 0.2500 0.6686 0.6400  1 Ce 2.35, 1 Ge 2.48
Ru: 0.2500 0.9714 0.3314  1 Ce 2.35, 1 Ge 2.48
Ru: 0.7500 0.0286 0.6686  1 Ce 2.35, 1 Ge 2.48
Ce: 0.2500 0.6590 0.9246  1 Ru 2.35
Ce: 0.7500 0.9246 0.2655  1 Ru 2.35
Ce: 0.7500 0.3410 0.0754  1 Ru 2.35
Ce: 0.2500 0.0754 0.7345  1 Ru 2.35
Ce: 0.2500 0.2655 0.3410  1 Ru 2.35
Ce: 0.7500 0.7345 0.6590  1 Ru 2.35
Ge: 0.7500 0.3333 0.6667  3 Ru 2.48
Ge: 0.2500 0.6667 0.3333  3 Ru 2.48

=====

(7)
This record from Alexandria via LeMat-Bulk describes an optimized crystal structure of FeCo2CuH. The functional is PBE.

Computed properties:
* relative energy among the computed polymorphs: 39 meV/atom

a b c (Å): 3.6573 3.6573 3.5689
angles (deg): 90.00 90.00 90.00
Closest atoms and distances in Å follow each position.
Sites, in units of the cell vectors:
Co: 0.5000 0.0000 0.0000  2 H 1.83
Co: 0.0000 0.5000 0.0000  2 H 1.83
H: 0.0000 0.0000 0.0000  2 Cu 1.78, 4 Co 1.83
Cu: 0.0000 0.0000 0.5000  2 H 1.78
Fe: 0.5000 0.5000 0.5000  8 Co 2.56, 4 Cu 2.59

=====

(8)
This record from Alexandria via LeMat-Bulk describes an optimized crystal structure of PrZrNi4. The functional is PBE.

Computed properties:
* raw total energy: -6.34 eV/atom

a b c (Å): 5.0672 5.0672 5.0672
angles (deg): 60.00 60.00 60.00
Closest atoms and distances in Å follow each position.
Sites, in units of the cell vectors:
Ni: 0.6240 0.6240 0.1279  6 Ni 2.51-2.55
Ni: 0.1279 0.6240 0.6240  6 Ni 2.51-2.55
Ni: 0.6240 0.1279 0.6240  6 Ni 2.51-2.55
Ni: 0.6240 0.6240 0.6240  6 Ni 2.51-2.55
Pr: 0.0000 0.0000 0.0000  12 Ni 2.97, 4 Zr 3.10
Zr: 0.2500 0.2500 0.2500  12 Ni 2.97, 4 Pr 3.10

=====

Respective D(E_F) values: 2.7; 1.6; 5.2; 3.8; 5.0; 11.7; 2.8; 4.9 states/eV per cell.